# 1
Density functional theory data (PBE-GGA) for Rb3PPt after structural relaxation.

Lattice parameters (Å, degrees): 6.3253 6.3253 6.3253 90.00 90.00 90.00
Atoms (fractional coordinates):
Pt 0.0000 0.0000 0.0000
Rb 0.5000 0.0000 0.0000
Rb 0.0000 0.0000 0.5000
Rb 0.0000 0.5000 0.0000
P 0.5000 0.5000 0.5000

Its polymorph energy (0 for the lowest one) is 605 meV/atom. For the magnetic moment, the calculation gives 0.4000 μB/atom. The volume comes out at 50.61 A^3/atom. The calculation puts the calculated total energy at -2.4764 eV per atom. The calculated formation energy is 0.394 eV/atom.

=====

# 2
Density functional theory data (PBE-GGA) for Ac4Pm2Nd3 after structural relaxation.

Lattice parameters (Å, degrees): 5.4468 6.5429 11.4181 74.42 90.03 65.39
Atoms (fractional coordinates):
Pm 0.6702 0.6591 0.2267
Pm 0.3298 0.3409 0.7733
Nd 0.0000 0.0000 0.0000
Nd 0.3342 0.3312 0.4480
Nd 0.6658 0.6688 0.5520
Ac 0.6665 0.6669 0.8888
Ac 0.0028 0.9947 0.3326
Ac 0.3335 0.3331 0.1112
Ac 0.9972 0.0053 0.6674

Its polymorph energy (0 for the lowest one) is 0 meV/atom. For the magnetic moment, the calculation gives 0.0000 μB/atom. The volume comes out at 39.27 A^3/atom. The calculation puts the calculated total energy at -4.4342 eV per atom. The calculated formation energy is 0.037 eV/atom.

=====

# 3
Density functional theory data (PBE-GGA) for ScAlCd after structural relaxation.

Lattice parameters (Å, degrees): 4.6049 4.6049 4.6049 60.00 60.00 60.00
Atoms (fractional coordinates):
Sc 0.2500 0.2500 0.2500
Cd 0.7500 0.7500 0.7500
Al 0.0000 0.0000 0.0000

For the magnetic moment, the calculation gives 0.0000 μB/atom. The volume comes out at 23.02 A^3/atom. The calculation puts the calculated total energy at -3.7671 eV per atom. The calculated formation energy is -0.104 eV/atom.